DFT (PBE with a Hubbard U) results for a relaxed structure of InFe2WO6.

Computed properties:
uncorrected energy = -6.734 eV per atom
volume = 12.1 Å³ per atom

Unit cell a=5.3800 b=5.3857 c=5.6764 alpha=117.33 beta=90.52 gamma=119.57
With the nearest neighbours (Å) after each atom.
Space group P1 (No. 1)
Symmetry-distinct sites (fractional):
In  0.0000  0.0000  0.0000 [1 per cell]  6 O 2.13-2.33
Fe  0.1981  0.4173  0.6308 [1 per cell]  4 O 2.05-2.19
Fe  0.7097  0.4178  0.1414 [1 per cell]  5 O 2.05-2.27
W  0.5061  0.0092  0.5205 [1 per cell]  6 O 1.91-2.09
O  0.1279  0.5327  0.3234 [1 per cell]  1 W 2.04, 2 Fe 2.12-2.19
O  0.2919  0.1804  0.7783 [1 per cell]  1 W 2.04, 1 Fe 2.05, 1 In 2.16
O  0.4046  0.1809  0.3043 [1 per cell]  1 W 2.05, 1 Fe 2.05, 1 In 2.23
O  0.5981  0.9049  0.8003 [1 per cell]  1 W 2.04, 2 Fe 2.13-2.27, 1 In 2.13
O  0.7529  0.8998  0.3130 [1 per cell]  1 W 1.91
O  0.8767  0.4929  0.8115 [1 per cell]  1 W 2.09, 2 Fe 2.13-2.20, 1 In 2.14